(w)
LaHo2Zr: optimized geometry, PBE.

Calculated values
- Volume: 120 Å³/cell
- D(E_F): 1.4811 states/eV per atom
- Crystal system: trigonal
- Magnetic moment: 0.00 μB/atom

```
LaHo2Zr
1.0
-1.866 2.893 0.469
-1.756 0.473 2.960
7.916 6.263 5.735
La Ho Zr
1 2 1
direct
0.500 0.500 0.499
0.076 0.076 0.772
0.257 0.257 0.228
0.666 0.666 0.001
```


(x)
LaHo2Zr: optimized geometry, PBE.

Calculated values
- Volume: 119 Å³/cell
- D(E_F): 1.2321 states/eV per atom
- Crystal system: tetragonal
- Magnetic moment: 0.00 μB/atom

```
LaHo2Zr
1.0
4.939 0.000 0.000
0.000 4.904 0.000
0.000 0.000 4.904
Ho Zr La
2 1 1
direct
0.000 0.000 0.500
0.000 0.500 0.000
0.500 0.000 0.000
0.500 0.500 0.500
```


Which is most stable, and by how much? (w), by 0.025 eV/atom.


(w)
LaHo2Zr: optimized geometry, PBE.

Calculated values
- Volume: 119 Å³/cell
- D(E_F): 1.5115 states/eV per atom
- Crystal system: trigonal
- Magnetic moment: 0.00 μB/atom

```
LaHo2Zr
1.0
-3.141 -1.429 0.360
-1.193 -0.794 3.159
-6.082 9.671 2.040
Ho Zr La
2 1 1
direct
0.743 0.743 0.770
0.257 0.257 0.230
0.000 0.000 0.000
0.500 0.500 0.500
```


(x)
LaHo2Zr: optimized geometry, PBE.

Calculated values
- Volume: 120 Å³/cell
- D(E_F): 1.9390 states/eV per atom
- Crystal system: cubic
- Magnetic moment: 0.20 μB/atom

```
LaHo2Zr
1.0
5.534 0.000 0.000
2.767 4.792 0.000
2.767 1.597 4.518
Ho Zr La
2 1 1
direct
0.250 0.250 0.250
0.750 0.750 0.750
0.500 0.500 0.500
0.000 0.000 0.000
```


Which is most stable, and by how much? (w), by 0.131 eV/atom.


(w)
LaHoZr: optimized geometry, PBE.

Calculated values
- Volume: 174 Å³/cell
- D(E_F): 1.6638 states/eV per atom
- Crystal system: hexagonal
- Magnetic moment: 0.00 μB/atom

```
LaHoZr
1.0
5.443 0.000 0.004
2.722 4.714 0.000
-0.005 0.003 6.766
La Ho Zr
2 2 2
direct
0.629 0.979 0.291
0.962 0.312 0.291
0.295 0.645 0.558
0.295 0.645 0.023
0.629 0.979 0.791
0.962 0.312 0.791
```


(x)
LaHoZr: optimized geometry, PBE.

Calculated values
- Volume: 89 Å³/cell
- D(E_F): 1.5111 states/eV per atom
- Crystal system: tetragonal
- Magnetic moment: 0.00 μB/atom

```
LaHoZr
1.0
3.403 0.000 0.000
0.000 3.403 0.000
-1.702 -1.702 7.684
Ho Zr La
1 1 1
direct
0.015 0.015 0.029
0.661 0.661 0.322
0.325 0.325 0.649
```


(y)
LaHoZr: optimized geometry, PBE.

Calculated values
- Volume: 88 Å³/cell
- D(E_F): 1.2459 states/eV per atom
- Crystal system: trigonal
- Magnetic moment: 0.00 μB/atom

```
LaHoZr
1.0
-2.179 -2.272 1.434
3.412 -0.356 0.448
-0.417 4.819 7.004
Ho Zr La
1 1 1
direct
0.333 0.667 0.645
0.667 0.333 0.338
0.000 0.000 0.016
```


Which is most stable, and by how much? (x), by 0.013 eV/atom.


(w)
Li2Ho: optimized geometry, PBE.

Calculated values
- Volume: 70 Å³/cell
- D(E_F): 0.5480 states/eV per atom
- Crystal system: tetragonal
- Magnetic moment: 0.00 μB/atom

```
Li2Ho
1.0
3.614 0.000 0.000
0.000 3.614 0.000
-1.807 -1.807 5.338
Ho Li
1 2
direct
0.000 0.000 0.000
0.690 0.690 0.381
0.310 0.310 0.619
```


(x)
Li2Ho: optimized geometry, PBE.

Calculated values
- Volume: 139 Å³/cell
- D(E_F): 0.9069 states/eV per atom
- Crystal system: cubic
- Magnetic moment: 0.00 μB/atom

```
Li2Ho
1.0
5.815 0.000 0.000
2.907 5.036 0.000
2.907 1.679 4.748
Ho Li
2 4
direct
0.000 0.000 0.000
0.250 0.250 0.250
0.125 0.625 0.625
0.625 0.125 0.625
0.625 0.625 0.625
0.625 0.625 0.125
```


Which is most stable, and by how much? (x), by 0.015 eV/atom.


(w)
LiHo3: optimized geometry, PBE.

Calculated values
- Volume: 112 Å³/cell
- D(E_F): 1.2776 states/eV per atom
- Crystal system: orthorhombic
- Magnetic moment: 0.00 μB/atom

```
LiHo3
1.0
-1.820 3.237 -0.027
-4.622 -2.588 1.266
4.328 0.343 4.787
Ho Li
3 1
direct
0.275 0.691 0.549
0.500 0.417 0.000
0.725 0.142 0.451
0.000 0.917 0.000
```


(x)
LiHo3: optimized geometry, PBE.

Calculated values
- Volume: 114 Å³/cell
- D(E_F): 1.6482 states/eV per atom
- Crystal system: cubic
- Magnetic moment: 0.00 μB/atom

```
LiHo3
1.0
4.855 0.000 0.000
0.000 4.855 0.000
0.000 0.000 4.855
Li Ho
1 3
direct
0.000 0.000 0.000
0.500 0.500 0.000
0.500 0.000 0.500
0.000 0.500 0.500
```


Which is most stable, and by how much? (w), by 0.122 eV/atom.


(w)
LiHo3: optimized geometry, PBE.

Calculated values
- Volume: 231 Å³/cell
- D(E_F): 1.5649 states/eV per atom
- Crystal system: hexagonal
- Magnetic moment: 0.10 μB/atom

```
LiHo3
1.0
3.487 -6.039 0.000
3.487 6.039 0.000
0.000 0.000 5.491
Li Ho
2 6
direct
0.667 0.333 0.250
0.333 0.667 0.750
0.832 0.168 0.750
0.336 0.168 0.750
0.832 0.664 0.750
0.168 0.832 0.250
0.664 0.832 0.250
0.168 0.336 0.250
```


(x)
LiHo3: optimized geometry, PBE.

Calculated values
- Volume: 120 Å³/cell
- D(E_F): 1.4828 states/eV per atom
- Crystal system: orthorhombic
- Magnetic moment: 0.09 μB/atom

```
LiHo3
1.0
-0.849 -3.192 0.763
2.127 -1.111 -2.284
7.733 -0.300 7.350
Ho Li
3 1
direct
0.000 0.500 0.472
0.500 0.500 0.191
0.500 0.000 0.705
0.000 0.000 0.965
```


Which is most stable, and by how much? (w), by 0.100 eV/atom.